No. 1
YTi2BF | PBE | optimized geometry

Cell and atoms, written as CIF:
```
data_YTi2BF
_space_group_name_H-M_alt 'P 1'
_space_group_IT_number 1
_space_group_name_Hall 'P 1'
_cell_length_a 4.062
_cell_length_b 6.085
_cell_length_c 4.062
_cell_angle_alpha 90.00
_cell_angle_beta 90.00
_cell_angle_gamma 90.00
loop_
_atom_site_label
_atom_site_type_symbol
_atom_site_fract_x
_atom_site_fract_y
_atom_site_fract_z
Y1 Y 0.500 0.500 0.500
B1 B 0.000 0.000 0.000
F1 F 0.000 0.500 0.000
Ti1 Ti 0.000 0.000 0.500
Ti2 Ti 0.500 0.000 0.000
```

The crystal system is tetragonal. The value obtained for the total energy is -31.32 eV/cell. The value obtained for the total moment is 1.22 μB per formula unit. Its space group is P4/mmm.

No. 2
Tb3Tl3CrS8 | PBE | optimized geometry

Cell and atoms, written as CIF:
```
data_Tb3Tl3CrS8
_space_group_name_H-M_alt 'P 1'
_space_group_IT_number 1
_space_group_name_Hall 'P 1'
_cell_length_a 7.839
_cell_length_b 7.839
_cell_length_c 8.724
_cell_angle_alpha 116.70
_cell_angle_beta 89.99
_cell_angle_gamma 120.00
loop_
_atom_site_label
_atom_site_type_symbol
_atom_site_fract_x
_atom_site_fract_y
_atom_site_fract_z
Tb1 Tb 0.500 0.000 0.500
Tb2 Tb 0.500 0.500 0.500
Tb3 Tb 0.000 0.500 0.500
Tl1 Tl 0.000 0.000 0.000
Tl2 Tl 0.000 0.500 0.000
Tl3 Tl 0.500 0.500 0.000
Cr1 Cr 0.000 0.000 0.500
S1 S 0.265 0.530 0.296
S2 S 0.735 0.470 0.704
S3 S 0.787 0.575 0.313
S4 S 0.213 0.425 0.687
S5 S 0.787 0.025 0.313
S6 S 0.213 0.975 0.687
S7 S 0.238 0.025 0.313
S8 S 0.762 0.975 0.687
```

The crystal system is trigonal. The value obtained for the total energy is -82.16 eV/cell. The value obtained for the total moment is 2.31 μB per formula unit. Its space group is R-3m.

No. 3
Ac2Sm4Th | PBE | optimized geometry

Cell and atoms, written as CIF:
```
data_Ac2Sm4Th
_space_group_name_H-M_alt 'P 1'
_space_group_IT_number 1
_space_group_name_Hall 'P 1'
_cell_length_a 3.741
_cell_length_b 3.741
_cell_length_c 21.176
_cell_angle_alpha 84.93
_cell_angle_beta 84.93
_cell_angle_gamma 60.00
loop_
_atom_site_label
_atom_site_type_symbol
_atom_site_fract_x
_atom_site_fract_y
_atom_site_fract_z
Ac1 Ac 0.572 0.572 0.284
Ac2 Ac 0.428 0.428 0.716
Sm1 Sm 0.856 0.856 0.431
Sm2 Sm 0.711 0.711 0.867
Sm3 Sm 0.289 0.289 0.133
Sm4 Sm 0.144 0.144 0.569
Th1 Th 0.000 0.000 0.000
```

The crystal system is trigonal. The value obtained for the total energy is -34.17 eV/cell. As for the formation energy: 0.34 eV per formula unit. The value obtained for the total moment is 0.00 μB per formula unit. Its space group is R-3m.

No. 4
La12CeSn6 | PBE | optimized geometry

Cell and atoms, written as CIF:
```
data_La12CeSn6
_space_group_name_H-M_alt 'P 1'
_space_group_IT_number 1
_space_group_name_Hall 'P 1'
_cell_length_a 9.031
_cell_length_b 9.031
_cell_length_c 9.031
_cell_angle_alpha 99.26
_cell_angle_beta 99.26
_cell_angle_gamma 99.26
loop_
_atom_site_label
_atom_site_type_symbol
_atom_site_fract_x
_atom_site_fract_y
_atom_site_fract_z
La1 La 0.808 0.569 0.435
La2 La 0.435 0.808 0.569
La3 La 0.569 0.435 0.808
La4 La 0.192 0.431 0.565
La5 La 0.565 0.192 0.431
La6 La 0.431 0.565 0.192
La7 La 0.064 0.996 0.320
La8 La 0.004 0.680 0.936
La9 La 0.680 0.936 0.004
La10 La 0.936 0.004 0.680
La11 La 0.996 0.320 0.064
La12 La 0.320 0.064 0.996
Ce1 Ce 0.000 0.000 0.000
Sn1 Sn 0.697 0.877 0.353
Sn2 Sn 0.647 0.303 0.123
Sn3 Sn 0.123 0.647 0.303
Sn4 Sn 0.303 0.123 0.647
Sn5 Sn 0.353 0.697 0.877
Sn6 Sn 0.877 0.353 0.697
```

The crystal system is trigonal. The value obtained for the total energy is -95.14 eV/cell. As for the formation energy: -6.06 eV per formula unit. The value obtained for the total moment is 0.07 μB per formula unit. Its space group is R-3.

No. 5
CsSr2TbI8 | PBE | optimized geometry

Cell and atoms, written as CIF:
```
data_CsSr2TbI8
_space_group_name_H-M_alt 'P 1'
_space_group_IT_number 1
_space_group_name_Hall 'P 1'
_cell_length_a 7.844
_cell_length_b 7.497
_cell_length_c 10.301
_cell_angle_alpha 89.92
_cell_angle_beta 89.96
_cell_angle_gamma 89.58
loop_
_atom_site_label
_atom_site_type_symbol
_atom_site_fract_x
_atom_site_fract_y
_atom_site_fract_z
Cs1 Cs 0.000 0.000 0.500
Sr1 Sr 0.500 0.500 0.752
Sr2 Sr 0.500 0.500 0.248
Tb1 Tb 0.000 0.000 0.000
I1 I 0.157 0.758 0.204
I2 I 0.675 0.753 0.000
I3 I 0.842 0.241 0.204
I4 I 0.843 0.242 0.796
I5 I 0.325 0.247 0.000
I6 I 0.158 0.759 0.796
I7 I 0.606 0.739 0.500
I8 I 0.394 0.261 0.500
```

The crystal system is triclinic. The value obtained for the total energy is -39.58 eV/cell. The value obtained for the total moment is 0.00 μB per formula unit. Its space group is P-1.

No. 6
Li2ZnHgF | PBE | optimized geometry

Cell and atoms, written as CIF:
```
data_Li2ZnHgF
_space_group_name_H-M_alt 'P 1'
_space_group_IT_number 1
_space_group_name_Hall 'P 1'
_cell_length_a 5.084
_cell_length_b 4.351
_cell_length_c 5.084
_cell_angle_alpha 90.00
_cell_angle_beta 90.00
_cell_angle_gamma 90.00
loop_
_atom_site_label
_atom_site_type_symbol
_atom_site_fract_x
_atom_site_fract_y
_atom_site_fract_z
Zn1 Zn 0.000 0.000 0.000
Li1 Li 0.000 0.000 0.500
Li2 Li 0.500 0.000 0.000
Hg1 Hg 0.500 0.500 0.500
F1 F 0.000 0.500 0.000
```

The crystal system is tetragonal. The value obtained for the total energy is -9.53 eV/cell. The value obtained for the total moment is 0.00 μB per formula unit. Its space group is P4/mmm.

No. 7
SrSc3 | PBE | optimized geometry

Cell and atoms, written as CIF:
```
data_SrSc3
_space_group_name_H-M_alt 'P 1'
_space_group_IT_number 1
_space_group_name_Hall 'P 1'
_cell_length_a 6.463
_cell_length_b 6.463
_cell_length_c 6.463
_cell_angle_alpha 117.12
_cell_angle_beta 117.12
_cell_angle_gamma 117.12
loop_
_atom_site_label
_atom_site_type_symbol
_atom_site_fract_x
_atom_site_fract_y
_atom_site_fract_z
Sc1 Sc 0.000 0.000 0.000
Sc2 Sc 0.500 0.000 0.500
Sc3 Sc 0.500 0.500 0.000
Sr1 Sr 0.000 0.500 0.500
```

The crystal system is trigonal. The value obtained for the total energy is -19.22 eV/cell. As for the formation energy: 1.45 eV per formula unit. The value obtained for the total moment is 1.52 μB per formula unit. Its space group is R-3m.

No. 8
ScTiBi | PBE | optimized geometry

Cell and atoms, written as CIF:
```
data_ScTiBi
_space_group_name_H-M_alt 'P 1'
_space_group_IT_number 1
_space_group_name_Hall 'P 1'
_cell_length_a 3.681
_cell_length_b 3.681
_cell_length_c 5.479
_cell_angle_alpha 109.63
_cell_angle_beta 109.63
_cell_angle_gamma 90.00
loop_
_atom_site_label
_atom_site_type_symbol
_atom_site_fract_x
_atom_site_fract_y
_atom_site_fract_z
Sc1 Sc 0.946 0.946 0.893
Bi1 Bi 0.624 0.624 0.248
Ti1 Ti 0.279 0.279 0.559
```

The crystal system is tetragonal. The value obtained for the total energy is -18.88 eV/cell. As for the formation energy: -0.78 eV per formula unit. The value obtained for the total moment is 0.00 μB per formula unit. Its space group is I4mm.

No. 9
CdPb4 | PBE | optimized geometry

Cell and atoms, written as CIF:
```
data_CdPb4
_space_group_name_H-M_alt 'P 1'
_space_group_IT_number 1
_space_group_name_Hall 'P 1'
_cell_length_a 3.570
_cell_length_b 3.570
_cell_length_c 13.805
_cell_angle_alpha 82.57
_cell_angle_beta 82.57
_cell_angle_gamma 60.00
loop_
_atom_site_label
_atom_site_type_symbol
_atom_site_fract_x
_atom_site_fract_y
_atom_site_fract_z
Cd1 Cd 0.000 0.000 0.000
Pb1 Pb 0.604 0.604 0.187
Pb2 Pb 0.202 0.202 0.395
Pb3 Pb 0.798 0.798 0.605
Pb4 Pb 0.396 0.396 0.813
```

The crystal system is trigonal. The value obtained for the total energy is -15.61 eV/cell. As for the formation energy: 0.14 eV per formula unit. The value obtained for the total moment is 0.00 μB per formula unit. Its space group is R-3m.

No. 10
SmY8Al2 | PBE | optimized geometry

Cell and atoms, written as CIF:
```
data_SmY8Al2
_space_group_name_H-M_alt 'P 1'
_space_group_IT_number 1
_space_group_name_Hall 'P 1'
_cell_length_a 5.652
_cell_length_b 8.505
_cell_length_c 8.505
_cell_angle_alpha 117.34
_cell_angle_beta 101.17
_cell_angle_gamma 101.17
loop_
_atom_site_label
_atom_site_type_symbol
_atom_site_fract_x
_atom_site_fract_y
_atom_site_fract_z
Sm1 Sm 0.500 0.000 0.000
Y1 Y 0.893 0.914 0.675
Y2 Y 0.893 0.675 0.914
Y3 Y 0.296 0.595 0.595
Y4 Y 0.500 0.772 0.228
Y5 Y 0.500 0.228 0.772
Y6 Y 0.704 0.405 0.405
Y7 Y 0.107 0.325 0.086
Y8 Y 0.107 0.086 0.325
Al1 Al 0.000 0.308 0.692
Al2 Al 0.000 0.692 0.308
```

The crystal system is monoclinic. The value obtained for the total energy is -64.03 eV/cell. As for the formation energy: -0.11 eV per formula unit. The value obtained for the total moment is 0.00 μB per formula unit. Its space group is C2/m.

No. 11
LiGdZrCo | PBE | optimized geometry

Cell and atoms, written as CIF:
```
data_LiGdZrCo
_space_group_name_H-M_alt 'P 1'
_space_group_IT_number 1
_space_group_name_Hall 'P 1'
_cell_length_a 4.735
_cell_length_b 4.735
_cell_length_c 4.735
_cell_angle_alpha 60.00
_cell_angle_beta 60.00
_cell_angle_gamma 60.00
loop_
_atom_site_label
_atom_site_type_symbol
_atom_site_fract_x
_atom_site_fract_y
_atom_site_fract_z
Gd1 Gd 0.750 0.750 0.750
Co1 Co 0.500 0.500 0.500
Zr1 Zr 0.250 0.250 0.250
Li1 Li 0.000 0.000 0.000
```

The crystal system is cubic. The value obtained for the total energy is -31.55 eV/cell. As for the formation energy: 0.10 eV per formula unit. The value obtained for the total moment is 7.18 μB per formula unit. Its space group is F-43m.

No. 12
KMg2Bi3 | PBE | optimized geometry

Cell and atoms, written as CIF:
```
data_KMg2Bi3
_space_group_name_H-M_alt 'P 1'
_space_group_IT_number 1
_space_group_name_Hall 'P 1'
_cell_length_a 6.297
_cell_length_b 8.624
_cell_length_c 8.624
_cell_angle_alpha 109.98
_cell_angle_beta 90.00
_cell_angle_gamma 90.00
loop_
_atom_site_label
_atom_site_type_symbol
_atom_site_fract_x
_atom_site_fract_y
_atom_site_fract_z
K1 K 0.250 0.320 0.320
K2 K 0.750 0.680 0.680
Mg1 Mg 0.500 0.812 0.188
Mg2 Mg 0.000 0.812 0.188
Mg3 Mg 0.000 0.188 0.812
Mg4 Mg 0.500 0.188 0.812
Bi1 Bi 0.750 0.491 0.066
Bi2 Bi 0.750 0.066 0.491
Bi3 Bi 0.250 0.509 0.934
Bi4 Bi 0.750 0.055 0.055
Bi5 Bi 0.250 0.945 0.945
Bi6 Bi 0.250 0.934 0.509
```

The crystal system is orthorhombic. The value obtained for the total energy is -33.72 eV/cell. As for the formation energy: -0.93 eV per formula unit. The value obtained for the total moment is 0.00 μB per formula unit. Its space group is Cmcm.